# 1
DFT (PBE) results for a geometry-optimized Np2As4Au structure.

Properties
- Crystal system: tetragonal
- Magnetization: 0.9105 μB per atom
- Energy of formation: -0.473 eV/atom
- Density: 10.7 g/cm3

Cell lengths 3.9539, 3.9539, 9.6751 Å; angles 90.00, 90.00, 90.00 degrees
Site moments in Bohr magnetons follow the coordinates.
Element x y z (fractional)
As: 0.0000 0.0000 0.5000  -0.06
As: 0.5000 0.0000 0.1836  -0.12
As: 0.5000 0.5000 0.5000  -0.06
As: 0.0000 0.5000 0.8164  -0.12
Np: 0.5000 0.0000 0.7366  3.36
Np: 0.0000 0.5000 0.2634  3.36
Au: 0.5000 0.5000 0.0000  -0.07

---

# 2
DFT (PBE) results for a geometry-optimized NpAs2Au structure.

Properties
- Crystal system: tetragonal
- Magnetization: 0.7604 μB per atom
- Energy of formation: -0.378 eV/atom
- Density: 12.4 g/cm3

Cell lengths 3.7467, 4.5709, 4.5709 Å; angles 90.00, 90.00, 90.00 degrees
Site moments in Bohr magnetons follow the coordinates.
Element x y z (fractional)
Au: 0.5000 0.0000 0.0000  0.01
Np: 0.5000 0.5000 0.5000  3.17
As: 0.0000 0.5000 0.0000  -0.09
As: 0.0000 0.0000 0.5000  -0.09

---

# 3
DFT (PBE) results for a geometry-optimized NpAsAu4 structure.

Properties
- Crystal system: cubic
- Magnetization: 0.6808 μB per atom
- Energy of formation: -0.045 eV/atom
- Density: 14.7 g/cm3

Cell lengths 5.5977, 5.5977, 5.5977 Å; angles 60.00, 60.00, 60.00 degrees
Site moments in Bohr magnetons follow the coordinates.
Element x y z (fractional)
Au: 0.6250 0.6250 0.1251  -0.01
Au: 0.6250 0.6250 0.6250  -0.01
Au: 0.6250 0.1251 0.6250  -0.01
Au: 0.1251 0.6250 0.6250  -0.01
Np: 0.2500 0.2500 0.2500  3.99
As: 0.0000 0.0000 0.0000  -0.04

---

# 4
DFT (PBE) results for a geometry-optimized NpAsPdAu structure.

Properties
- Crystal system: cubic
- Magnetization: 0.9200 μB per atom
- Energy of formation: -0.276 eV/atom
- Density: 13.0 g/cm3

Cell lengths 4.8074, 4.8074, 4.8074 Å; angles 60.00, 60.00, 60.00 degrees
Site moments in Bohr magnetons follow the coordinates.
Element x y z (fractional)
Pd: 0.2500 0.2500 0.2500  0.02
Au: 0.0000 0.0000 0.0000  -0.03
As: 0.5000 0.5000 0.5000  -0.05
Np: 0.7500 0.7500 0.7500  3.59

---

# 5
DFT (PBE) results for a geometry-optimized PmNpAsAu structure.

Properties
- Crystal system: cubic
- Magnetization: 1.4025 μB per atom
- Energy of formation: -0.523 eV/atom
- Density: 11.3 g/cm3

Cell lengths 5.1385, 5.1385, 5.1385 Å; angles 60.00, 60.00, 60.00 degrees
Site moments in Bohr magnetons follow the coordinates.
Element x y z (fractional)
Au: 0.0000 0.0000 0.0000  0.09
As: 0.5000 0.5000 0.5000  -0.06
Np: 0.2500 0.2500 0.2500  4.29
Pm: 0.7500 0.7500 0.7500  0.43

---

# 6
DFT (PBE) results for a geometry-optimized PuNpAsAu structure.

Properties
- Crystal system: cubic
- Magnetization: 0.3501 μB per atom
- Energy of formation: -0.279 eV/atom
- Density: 13.3 g/cm3

Cell lengths 5.1001, 5.1001, 5.1001 Å; angles 60.00, 60.00, 60.00 degrees
Site moments in Bohr magnetons follow the coordinates.
Element x y z (fractional)
Pu: 0.2500 0.2500 0.2500  5.29
As: 0.5000 0.5000 0.5000  0.01
Np: 0.7500 0.7500 0.7500  -3.89
Au: 0.0000 0.0000 0.0000  0.00

---

# 7
DFT (PBE) results for a geometry-optimized As3AuO structure.

Properties
- Crystal system: cubic
- Magnetization: 0.4297 μB per atom
- E_form (uncorrected): 1301.7 meV/atom
- Density: 5.6 g/cm3

Cell lengths 5.0497, 5.0497, 5.0497 Å; angles 90.00, 90.00, 90.00 degrees
Site moments in Bohr magnetons follow the coordinates.
Element x y z (fractional)
Au: 0.0000 0.0000 0.0000  0.02
As: 0.0000 0.0000 0.5000  0.19
As: 0.5000 0.0000 0.0000  0.05
As: 0.0000 0.5000 0.0000  0.12
O: 0.5000 0.5000 0.5000  1.18

---

# 8
DFT (PBE) results for a geometry-optimized AsAuO4 structure.

Properties
- Crystal system: orthorhombic
- Magnetization: 0.0000 μB per atom
- E_form (uncorrected): -419.5 meV/atom
- Density: 8.3 g/cm3

Cell lengths 4.4107, 5.7654, 5.3158 Å; angles 90.00, 90.00, 90.00 degrees
Element x y z (fractional)
O: 0.7517 0.1208 0.6110
O: 0.7483 0.1208 0.1110
O: 0.2872 0.2999 0.3870
O: 0.7128 0.7001 0.3870
O: 0.2483 0.8792 0.6110
O: 0.2517 0.8792 0.1110
O: 0.7872 0.7001 0.8870
O: 0.2128 0.2999 0.8870
Au: 0.0000 0.5000 0.1470
Au: 0.5000 0.5000 0.6470
As: 0.0000 0.0000 0.8569
As: 0.5000 0.0000 0.3569

---

# 9
DFT (PBE) results for a geometry-optimized As2AuO structure.

Properties
- Crystal system: tetragonal
- Magnetization: 0.0000 μB per atom
- E_form (uncorrected): -13.1 meV/atom
- Density: 8.0 g/cm3

Cell lengths 4.7234, 4.7234, 7.4977 Å; angles 71.64, 71.64, 90.00 degrees
Element x y z (fractional)
As: 0.5221 0.1250 0.2500
As: 0.3750 0.4779 0.7500
As: 0.8750 0.7721 0.7500
As: 0.2279 0.6250 0.2500
Au: 0.0000 0.0000 0.0000
Au: 0.7500 0.2500 0.5000
O: 0.2500 0.7500 0.5000
O: 0.5000 0.5000 0.0000

---

# 10
DFT (PBE) results for a geometry-optimized As3AuO structure.

Properties
- Crystal system: cubic
- Magnetization: 0.0000 μB per atom
- E_form (uncorrected): 370.8 meV/atom
- Density: 8.4 g/cm3

Cell lengths 4.4312, 4.4312, 4.4312 Å; angles 90.00, 90.00, 90.00 degrees
Element x y z (fractional)
O: 0.0000 0.0000 0.0000
As: 0.0000 0.0000 0.5000
As: 0.0000 0.5000 0.0000
As: 0.5000 0.0000 0.0000
Au: 0.5000 0.5000 0.5000

---

# 11
DFT (PBE) results for a geometry-optimized AsAu2O structure.

Properties
- Crystal system: cubic
- Magnetization: 0.0001 μB per atom
- E_form (uncorrected): 441.3 meV/atom
- Density: 12.8 g/cm3

Cell lengths 4.4588, 4.4588, 4.4588 Å; angles 60.00, 60.00, 60.00 degrees
Element x y z (fractional)
O: 0.0000 0.0000 0.0000
Au: 0.2500 0.2500 0.2500
Au: 0.7500 0.7500 0.7500
As: 0.5000 0.5000 0.5000

---

# 12
DFT (PBE) results for a geometry-optimized AsAu2O structure.

Properties
- Crystal system: tetragonal
- Magnetization: 0.0000 μB per atom
- E_form (uncorrected): 217.2 meV/atom
- Density: 11.1 g/cm3

Cell lengths 6.2204, 6.2204, 5.7832 Å; angles 57.47, 57.47, 90.00 degrees
Element x y z (fractional)
Au: 0.8750 0.8446 0.7500
Au: 0.5946 0.1250 0.2500
Au: 0.1554 0.6250 0.2500
Au: 0.3750 0.4054 0.7500
As: 0.7500 0.2500 0.5000
As: 0.0000 0.0000 0.0000
O: 0.2500 0.7500 0.5000
O: 0.5000 0.5000 0.0000

---

Among the records above, which one has the highest density?
NpAsAu4

---

Among the records above, which one has the highest density?
NpAsAu4

---

Among the records above, which one has the lowest density?
number 7